8
Lattice="4.9148 0.0000 0.0000 0.0000 4.9148 0.0000 0.0000 0.0000 4.9148" Properties=species:S:1:pos:R:3 comment="Ru3W, relaxed, DFT PBE" crystal_system=cubic delta_e_f_ev_per_atom=0.257 total_energy_ha_per_atom=-0.365 space_group="Pm-3n (223)" pbc="T T T"
Ru 0.0000 1.2287 2.4574
Ru 0.0000 3.6861 2.4574
Ru 1.2287 2.4574 0.0000
Ru 2.4574 0.0000 1.2287
Ru 2.4574 0.0000 3.6861
Ru 3.6861 2.4574 0.0000
W 0.0000 0.0000 0.0000
W 2.4574 2.4574 2.4574



8
Lattice="4.9360 0.0000 0.0000 0.0000 4.4321 0.0000 0.0000 0.0000 5.5203" Properties=species:S:1:pos:R:3 comment="RuW, relaxed, DFT PBE" crystal_system=orthorhombic delta_e_f_ev_per_atom=0.066 total_energy_ha_per_atom=-0.406 space_group="Pnma (62)" pbc="T T T"
Ru 0.4365 1.1080 0.7108
Ru 2.0315 3.3241 3.4710
Ru 2.9045 1.1080 2.0493
Ru 4.4995 3.3241 4.8094
W 0.5684 1.1080 3.3807
W 1.8995 3.3241 0.6205
W 3.0364 1.1080 4.8997
W 4.3675 3.3241 2.1396



24
Lattice="5.4870 0.0000 0.0000 0.0000 13.2788 0.0000 0.0000 0.0000 4.7581" Properties=species:S:1:pos:R:3 comment="Ru3W, relaxed, DFT PBE" crystal_system=orthorhombic delta_e_f_ev_per_atom=-0.016 total_energy_ha_per_atom=-0.375 space_group="Pmmn (59)" pbc="T T T"
Ru 0.0087 3.3197 0.0050
Ru 0.0151 1.1242 1.5919
Ru 0.0151 5.5152 1.5919
Ru 1.3718 1.1098 3.9826
Ru 1.3718 5.5296 3.9826
Ru 1.3718 9.9591 2.3973
Ru 2.7284 1.1242 1.5919
Ru 2.7284 5.5152 1.5919
Ru 2.7348 3.3197 0.0050
Ru 2.7522 9.9591 4.7531
Ru 2.7586 7.7636 3.1663
Ru 2.7586 12.1546 3.1663
Ru 4.1153 3.3197 2.3609
Ru 4.1153 7.7492 0.7756
Ru 4.1153 12.1690 0.7756
Ru 5.4719 7.7636 3.1663
Ru 5.4719 12.1546 3.1663
Ru 5.4783 9.9591 4.7531
W 1.3718 3.3197 2.4023
W 1.3718 7.8163 0.7727
W 1.3718 12.1020 0.7727
W 4.1153 1.1769 3.9854
W 4.1153 5.4625 3.9854
W 4.1153 9.9591 2.3559



2
Lattice="0.0000 2.5701 2.5701 2.5701 0.0000 2.5701 2.5701 2.5701 0.0000" Properties=species:S:1:pos:R:3 comment="RuW, relaxed, DFT PBE" crystal_system=cubic delta_e_f_ev_per_atom=0.953 total_energy_ha_per_atom=-0.373 space_group="Fm-3m (225)" pbc="T T T"
Ru 0.0000 0.0000 0.0000
W 2.5701 2.5701 2.5701



5
Lattice="4.2474 0.0000 0.0000 -2.1237 3.6784 0.0000 0.0000 0.0000 5.2906" Properties=species:S:1:pos:R:3 comment="Ru3W2, relaxed, DFT PBE" crystal_system=trigonal delta_e_f_ev_per_atom=0.300 total_energy_ha_per_atom=-0.384 polymorph_energy_mev_per_atom=269 space_group="P-3m1 (164)" pbc="T T T"
Ru 0.0000 0.0000 0.0000
Ru 0.0000 2.4523 1.8085
Ru 2.1237 1.2261 3.4821
W 0.0000 2.4523 4.3101
W 2.1237 1.2261 0.9805



2
Lattice="2.8084 0.0000 0.0000 0.0000 2.8084 0.0000 0.0000 0.0000 3.8167" Properties=species:S:1:pos:R:3 comment="RuW, relaxed, DFT PBE" crystal_system=tetragonal delta_e_f_ev_per_atom=0.042 total_energy_ha_per_atom=-0.407 space_group="P4/mmm (123)" pbc="T T T"
Ru 0.0000 0.0000 0.0000
W 1.4042 1.4042 1.9084



3
Lattice="-1.4008 1.9107 4.3586 1.4008 -1.9107 4.3586 1.4008 1.9107 -4.3586" Properties=species:S:1:pos:R:3 comment="RuW2, relaxed, DFT PBE" crystal_system=orthorhombic delta_e_f_ev_per_atom=0.203 total_energy_ha_per_atom=-0.424 polymorph_energy_mev_per_atom=172 space_group="Immm (71)" pbc="T T T"
Ru 0.0000 0.0000 0.0000
W 0.0000 0.0000 2.9378
W 0.0000 0.0000 5.7794



6
Lattice="5.2815 -1.4048 0.0000 5.2815 1.4048 0.0000 -1.7809 0.0000 6.2741" Properties=species:S:1:pos:R:3 comment="RuW2, relaxed, DFT PBE" crystal_system=monoclinic delta_e_f_ev_per_atom=0.159 total_energy_ha_per_atom=-0.425 polymorph_energy_mev_per_atom=128 space_group="C2/m (12)" pbc="T T T"
Ru -0.2952 0.0000 1.8753
Ru 9.0773 0.0000 4.3988
W 2.7065 0.0000 2.3149
W 2.1521 0.0000 6.0045
W 6.6299 0.0000 0.2696
W 6.0756 0.0000 3.9592



8
Lattice="0.0000 3.8456 3.8456 3.8456 0.0000 3.8456 3.8456 3.8456 0.0000" Properties=species:S:1:pos:R:3 comment="Ru7W, relaxed, DFT PBE" crystal_system=cubic delta_e_f_ev_per_atom=0.069 total_energy_ha_per_atom=-0.355 space_group="Fm-3m (225)" pbc="T T T"
Ru 0.0000 0.0000 0.0000
Ru 1.9228 1.9228 0.0000
Ru 1.9228 0.0000 1.9228
Ru 3.8456 1.9228 1.9228
Ru 0.0000 1.9228 1.9228
Ru 1.9228 3.8456 1.9228
Ru 1.9228 1.9228 3.8456
W 3.8456 3.8456 3.8456



7
Lattice="-1.5904 1.5904 10.7332 1.5904 -1.5904 10.7332 1.5904 1.5904 -10.7332" Properties=species:S:1:pos:R:3 comment="Ru3W4, relaxed, DFT PBE" crystal_system=tetragonal delta_e_f_ev_per_atom=0.235 total_energy_ha_per_atom=-0.409 polymorph_energy_mev_per_atom=79 space_group="I4/mmm (139)" pbc="T T T"
Ru 0.0000 0.0000 0.0000
Ru 0.0000 0.0000 6.2702
Ru 0.0000 0.0000 15.1962
W 0.0000 0.0000 3.1540
W 0.0000 0.0000 9.1594
W 0.0000 0.0000 12.3070
W 0.0000 0.0000 18.3125



6
Lattice="-1.4006 1.4006 12.2405 1.4006 -1.4006 12.2405 1.4006 1.4006 -12.2405" Properties=species:S:1:pos:R:3 comment="RuW2, relaxed, DFT PBE" crystal_system=tetragonal delta_e_f_ev_per_atom=0.342 total_energy_ha_per_atom=-0.418 polymorph_energy_mev_per_atom=311 space_group="I4_1/amd (141)" pbc="T T T"
Ru 1.4006 0.7003 3.0601
Ru 0.0000 0.7003 9.1804
W 1.4006 -0.7003 7.3065
W 1.4006 -0.7003 11.0542
W 0.0000 2.1009 1.1863
W 0.0000 2.1009 4.9340



7
Lattice="5.0579 0.0000 0.0000 -2.5290 4.3803 0.0000 0.0000 0.0000 4.8877" Properties=species:S:1:pos:R:3 comment="Ru3W4, relaxed, DFT PBE" crystal_system=hexagonal delta_e_f_ev_per_atom=0.157 total_energy_ha_per_atom=-0.412 polymorph_energy_mev_per_atom=0 space_group="P6/mmm (191)" pbc="T T T"
Ru -1.2645 2.1901 0.0000
Ru 2.5290 0.0000 0.0000
Ru 1.2645 2.1901 0.0000
W 0.0000 0.0000 1.2490
W 0.0000 0.0000 3.6387
W 0.0000 2.9202 2.4439
W 2.5290 1.4601 2.4439